(1)
10
Lattice="8.860 0.000 0.000 0.000 8.860 0.000 0.000 0.000 3.751" Properties=species:S:1:pos:R:3 comment="Sr2As2Pb PBE relaxed" mass_density_g_cm3=6.003 polymorph_energy_mev_per_atom=220 space_group="No. 127" m_tot_mub_per_cell=0.0 pbc="T T T"
Pb 4.430 4.430 0.000
Pb 0.000 0.000 0.000
As 5.943 7.348 1.876
As 1.513 5.943 1.876
As 7.348 2.918 1.876
As 2.918 1.513 1.876
Sr 3.245 7.675 0.000
Sr 7.675 5.615 0.000
Sr 5.615 1.185 0.000
Sr 1.185 3.245 0.000

(2)
4
Lattice="-1.401 -1.845 -5.041 -1.610 -5.190 1.119 -1.778 4.646 2.457" Properties=species:S:1:pos:R:3 comment="SrAs2Pb PBE relaxed" mass_density_g_cm3=6.983 space_group="No. 139" m_tot_mub_per_cell=0.0 total_energy_ev_per_atom=-4.0383 pbc="T T T"
As -1.505 -3.518 -1.961
As -3.010 -7.036 -3.922
Pb -2.342 -0.358 -2.273
Sr -2.446 -2.031 0.808

(3)
7
Lattice="4.245 0.000 0.000 2.123 3.615 -0.645 0.000 0.123 14.750" Properties=species:S:1:pos:R:3 comment="SrAs2Pb4 PBE relaxed" mass_density_g_cm3=7.809 space_group="No. 12" m_tot_mub_per_cell=0.0 total_energy_ev_per_atom=-3.9828 pbc="T T T"
Pb 2.123 2.655 7.977
Pb 4.245 3.019 2.992
Pb 4.245 1.083 6.128
Pb 2.123 0.719 11.112
As 4.245 2.188 12.378
As 2.123 1.550 1.727
Sr 0.000 0.000 0.000

(4)
5
Lattice="5.905 0.000 0.000 0.000 5.138 0.000 0.000 0.000 5.905" Properties=species:S:1:pos:R:3 comment="SrTiAsPb2 PBE relaxed" mass_density_g_cm3=5.791 space_group="No. 123" m_tot_mub_per_cell=0.0 total_energy_ev_per_atom=-2.8737 pbc="T T T"
Pb 0.000 0.000 2.953
Pb 2.953 0.000 0.000
As 2.953 2.569 2.953
Ti 0.000 2.569 0.000
Sr 0.000 0.000 0.000

(5)
5
Lattice="5.580 0.000 0.000 0.000 5.463 0.000 0.000 0.000 5.580" Properties=species:S:1:pos:R:3 comment="SrZrAs2Pb PBE relaxed" mass_density_g_cm3=5.232 space_group="No. 123" m_tot_mub_per_cell=1.5 total_energy_ev_per_atom=-4.0689 pbc="T T T"
Pb 0.000 0.000 0.000
As 0.000 0.000 2.790
As 2.790 0.000 0.000
Zr 0.000 2.731 0.000
Sr 2.790 2.731 2.790

(6)
4
Lattice="-2.296 0.306 2.602 -1.459 -4.813 -0.722 3.231 -1.433 3.019" Properties=species:S:1:pos:R:3 comment="TaAs2Pb PBE relaxed" mass_density_g_cm3=10.859 space_group="No. 47" m_tot_mub_per_cell=0.0 total_energy_ev_per_atom=-5.6856 pbc="T T T"
As -1.878 -2.254 0.940
As 0.000 0.000 0.000
Pb 0.468 -0.564 2.810
Ta 0.886 -3.123 1.148

(7)
5
Lattice="5.122 0.000 0.000 0.000 5.122 0.000 0.000 0.000 5.122" Properties=species:S:1:pos:R:3 comment="Ta3AsPb PBE relaxed" mass_density_g_cm3=10.193 polymorph_energy_mev_per_atom=1551 space_group="No. 221" m_tot_mub_per_cell=0.0 pbc="T T T"
As 2.561 2.561 2.561
Pb 0.000 0.000 0.000
Ta 2.561 0.000 0.000
Ta 0.000 0.000 2.561
Ta 0.000 2.561 0.000

(8)
4
Lattice="10.005 0.003 0.002 9.498 3.145 0.002 9.498 1.533 2.746" Properties=species:S:1:pos:R:3 comment="TaAs2Pb PBE relaxed" mass_density_g_cm3=10.352 space_group="No. 160" m_tot_mub_per_cell=0.0 total_energy_ev_per_atom=-5.8909 pbc="T T T"
Ta 21.384 3.452 2.028
As 0.155 0.025 0.015
As 7.680 1.240 0.728
Pb 14.283 2.306 1.354